[1]
An optimized crystal structure of AlTl2Ag. Source: Alexandria, functional GGA-PBEsol.

extended XYZ file:
```
4
Lattice="0.0000 3.5651 3.5651 3.5651 0.0000 3.5651 3.5651 3.5651 0.0000" Properties=species:S:1:pos:R:3 pbc="T T T"
Al 0.0000 0.0000 0.0000
Tl 3.5651 3.5651 3.5651
Tl 5.3477 5.3477 5.3477
Ag 1.7826 1.7826 1.7826
```


[2]
4
Lattice="-1.5206 2.6252 4.7645 1.5206 -2.6252 4.7645 1.5206 2.6252 -4.7645" Properties=species:S:1:pos:R:3 comment="GGA-PBEsol AlTlAg2, relaxed" relative_energy_mev_per_atom=29 pbc="T T T"
Al 0.0000 0.0000 0.0000
Tl 0.0000 0.0000 4.7645
Ag 1.5206 0.0000 2.1684
Ag 0.0000 2.6252 2.5961


[3]
An optimized crystal structure of Al2Tl2Ag. Source: Alexandria, functional GGA-PBEsol.

extended XYZ file:
```
5
Lattice="-1.8560 1.8560 8.2765 1.8560 -1.8560 8.2765 1.8560 1.8560 -8.2765" Properties=species:S:1:pos:R:3 pbc="T T T"
Al 1.8560 0.0000 4.1382
Al 0.0000 1.8560 4.1382
Tl 0.0000 0.0000 1.6137
Tl 0.0000 0.0000 14.9393
Ag 0.0000 0.0000 8.2765
```


[4]
4
Lattice="0.0000 3.3654 3.3654 3.3654 0.0000 3.3654 3.3654 3.3654 0.0000" Properties=species:S:1:pos:R:3 comment="GGA-PBEsol AlTlAg2, relaxed" relative_energy_mev_per_atom=98 pbc="T T T"
Al 0.0000 0.0000 0.0000
Tl 1.6827 1.6827 1.6827
Ag 3.3654 3.3654 3.3654
Ag 5.0482 5.0482 5.0482


[5]
An optimized crystal structure of TmAlAg2. Source: Alexandria, functional GGA-PBEsol.

extended XYZ file:
```
4
Lattice="0.0000 3.3320 3.3320 3.3320 0.0000 3.3320 3.3320 3.3320 0.0000" Properties=species:S:1:pos:R:3 pbc="T T T"
Tm 0.0000 0.0000 0.0000
Al 3.3320 3.3320 3.3320
Ag 1.6660 1.6660 1.6660
Ag 4.9981 4.9981 4.9981
```


[6]
An optimized crystal structure of AlAgW2. Source: Alexandria, functional GGA-PBEsol.

extended XYZ file:
```
4
Lattice="2.6486 -4.3995 0.0000 2.6486 4.3995 0.0000 -0.4853 0.0000 2.6595" Properties=species:S:1:pos:R:3 pbc="T T T"
Al 0.0000 0.0000 0.0000
Ag 2.6486 0.0000 0.0000
W 1.0816 2.1997 1.3298
W 1.0816 -2.1997 1.3298
```


[7]
An optimized crystal structure of AlAgW2. Source: Alexandria, functional GGA-PBEsol.

extended XYZ file:
```
4
Lattice="-1.8821 1.8821 4.3876 1.8821 -1.8821 4.3876 1.8821 1.8821 -4.3876" Properties=species:S:1:pos:R:3 pbc="T T T"
Al 0.0000 0.0000 0.0000
Ag 0.0000 0.0000 4.3876
W 1.8821 0.0000 2.1938
W 0.0000 1.8821 2.1938
```


[8]
An optimized crystal structure of AlAgW2. Source: Alexandria, functional GGA-PBEsol.

extended XYZ file:
```
4
Lattice="-2.0334 2.0334 3.7626 2.0334 -2.0334 3.7626 2.0334 2.0334 -3.7626" Properties=species:S:1:pos:R:3 pbc="T T T"
Al 0.0000 0.0000 0.0000
Ag 2.0334 0.0000 1.8813
W 0.0000 0.0000 3.7626
W 0.0000 2.0334 1.8813
```


[9]
An optimized crystal structure of AlAg2W. Source: Alexandria, functional GGA-PBEsol.

extended XYZ file:
```
4
Lattice="2.7425 0.0000 0.0000 0.0000 2.7425 0.0000 0.0000 0.0000 8.3587" Properties=species:S:1:pos:R:3 pbc="T T T"
Al 0.0000 0.0000 0.0000
Ag 0.0000 0.0000 4.1141
Ag 1.3713 1.3713 6.3365
W 1.3713 1.3713 1.9693
```


[10]
An optimized crystal structure of AlAg2W. Source: Alexandria, functional GGA-PBEsol.

extended XYZ file:
```
4
Lattice="4.8680 0.0000 0.0000 0.0000 2.7058 0.0000 -1.7192 0.0000 4.8342" Properties=species:S:1:pos:R:3 pbc="T T T"
Al 0.0000 0.0000 0.0000
Ag -0.8596 1.3529 2.4171
Ag 1.5744 0.0000 2.4171
W 2.4340 1.3529 0.0000
```


[11]
An optimized crystal structure of AlAgW2. Source: Alexandria, functional GGA-PBEsol.

extended XYZ file:
```
4
Lattice="3.2564 0.0000 0.0000 0.0000 3.2564 0.0000 0.0000 0.0000 6.0078" Properties=species:S:1:pos:R:3 pbc="T T T"
Al 0.0000 0.0000 0.0000
Ag 1.6282 1.6282 4.6605
W 0.0000 0.0000 2.8309
W 1.6282 1.6282 1.6236
```


[12]
An optimized crystal structure of AlAg2W. Source: Alexandria, functional GGA-PBEsol.

extended XYZ file:
```
4
Lattice="0.0000 3.1695 3.1695 3.1695 0.0000 3.1695 3.1695 3.1695 0.0000" Properties=species:S:1:pos:R:3 pbc="T T T"
Al 0.0000 0.0000 0.0000
Ag 1.5847 1.5847 1.5847
Ag 3.1695 3.1695 3.1695
W 4.7542 4.7542 4.7542
```


[13]
An optimized crystal structure of AlAgW2. Source: Alexandria, functional GGA-PBEsol.

extended XYZ file:
```
4
Lattice="2.6839 0.0000 0.0000 0.0000 4.1510 0.0000 0.0000 0.0000 5.6839" Properties=species:S:1:pos:R:3 pbc="T T T"
Al 0.0000 0.0000 0.0000
Ag 1.3420 2.0755 4.3775
W 0.0000 0.0000 2.7619
W 1.3420 2.0755 1.5073
```


[14]
An optimized crystal structure of AlAgW2. Source: Alexandria, functional GGA-PBEsol.

extended XYZ file:
```
4
Lattice="2.7048 0.0000 0.0000 0.0000 4.3897 0.0000 -0.8981 0.0000 5.2418" Properties=species:S:1:pos:R:3 pbc="T T T"
Al 0.0000 0.0000 0.0000
Ag -0.4491 0.0000 2.6209
W 1.1022 2.1948 1.2442
W 0.7045 2.1948 3.9977
```


[15]
An optimized crystal structure of YAl2Ag2. Source: Alexandria, functional GGA-PBEsol.

extended XYZ file:
```
5
Lattice="-2.0731 2.0731 5.6811 2.0731 -2.0731 5.6811 2.0731 2.0731 -5.6811" Properties=species:S:1:pos:R:3 pbc="T T T"
Y 0.0000 0.0000 0.0000
Al 2.0731 0.0000 2.8406
Al 0.0000 2.0731 2.8406
Ag 0.0000 0.0000 4.3696
Ag 0.0000 0.0000 6.9926
```


[16]
An optimized crystal structure of YAlAg2. Source: Alexandria, functional GGA-PBEsol.

extended XYZ file:
```
4
Lattice="3.2871 0.0000 0.0000 0.0000 3.2871 0.0000 0.0000 0.0000 7.0722" Properties=species:S:1:pos:R:3 pbc="T T T"
Y 0.0000 0.0000 0.0000
Al 0.0000 0.0000 3.5361
Ag 1.6436 1.6436 2.0553
Ag 1.6436 1.6436 5.0169
```


[17]
An optimized crystal structure of Y2AlAg2. Source: Alexandria, functional GGA-PBEsol.

extended XYZ file:
```
10
Lattice="7.5316 0.0000 0.0000 0.0000 7.5316 0.0000 0.0000 0.0000 3.9075" Properties=species:S:1:pos:R:3 pbc="T T T"
Y 1.3060 2.4598 0.0000
Y 2.4598 6.2256 0.0000
Y 5.0718 1.3060 0.0000
Y 6.2256 5.0718 0.0000
Al 0.0000 0.0000 1.9538
Al 3.7658 3.7658 1.9538
Ag 0.9754 4.7412 1.9538
Ag 2.7904 0.9754 1.9538
Ag 4.7412 6.5562 1.9538
Ag 6.5562 2.7904 1.9538
```


[18]
An optimized crystal structure of AlZnAg2. Source: Alexandria, functional GGA-PBEsol.

extended XYZ file:
```
4
Lattice="3.3608 0.0000 0.0000 0.0000 3.3608 0.0000 0.0000 0.0000 5.5587" Properties=species:S:1:pos:R:3 pbc="T T T"
Al 0.0000 0.0000 0.0000
Zn 1.6804 1.6804 1.4716
Ag 0.0000 0.0000 2.7160
Ag 1.6804 1.6804 4.2831
```


[19]
An optimized crystal structure of AlZnAg2. Source: Alexandria, functional GGA-PBEsol.

extended XYZ file:
```
4
Lattice="-1.5949 2.1834 4.4341 1.5949 -2.1834 4.4341 1.5949 2.1834 -4.4341" Properties=species:S:1:pos:R:3 pbc="T T T"
Al 0.0000 0.0000 0.0000
Zn 1.5949 0.0000 2.1801
Ag 0.0000 0.0000 4.3598
Ag 0.0000 2.1834 2.2430
```


[20]
An optimized crystal structure of Al2ZnAg. Source: Alexandria, functional GGA-PBEsol.

extended XYZ file:
```
4
Lattice="2.6795 -4.7839 0.0000 2.6795 4.7839 0.0000 -1.3941 0.0000 2.5326" Properties=species:S:1:pos:R:3 pbc="T T T"
Al 1.3397 2.3920 0.0000
Al 1.3397 -2.3920 0.0000
Zn 0.0000 0.0000 0.0000
Ag 2.6795 0.0000 0.0000
```


Number 1: total DFT energy (no corrections) -2.892 eV/atom, formation enthalpy at 0 K 274 meV/atom, total magnetization 0.0 μB per cell. Number 2: total DFT energy (no corrections) -3.205 eV/atom, formation enthalpy at 0 K 131 meV/atom, total magnetization 0.0 μB per cell. Number 3: total DFT energy (no corrections) -3.050 eV/atom, formation enthalpy at 0 K 301 meV/atom, total magnetization 0.0 μB per cell. Number 4: total DFT energy (no corrections) -3.135 eV/atom, formation enthalpy at 0 K 201 meV/atom, total magnetization 0.0 μB per cell. Number 5: total DFT energy (no corrections) -4.270 eV/atom, formation enthalpy at 0 K -367 meV/atom, total magnetization 0.0 μB per cell. Number 6: total DFT energy (no corrections) -8.455 eV/atom, formation enthalpy at 0 K 300 meV/atom, total magnetization 0.0 μB per cell. Number 7: total DFT energy (no corrections) -8.418 eV/atom, formation enthalpy at 0 K 337 meV/atom, total magnetization 0.0 μB per cell. Number 8: total DFT energy (no corrections) -8.362 eV/atom, formation enthalpy at 0 K 392 meV/atom, total magnetization 0.0 μB per cell. Number 9: total DFT energy (no corrections) -5.996 eV/atom, formation enthalpy at 0 K 134 meV/atom, total magnetization 0.0 μB per cell. Number 10: total DFT energy (no corrections) -5.861 eV/atom, formation enthalpy at 0 K 269 meV/atom, total magnetization 0.0 μB per cell. Number 11: total DFT energy (no corrections) -8.501 eV/atom, formation enthalpy at 0 K 254 meV/atom, total magnetization 0.0 μB per cell. Number 12: total DFT energy (no corrections) -5.580 eV/atom, formation enthalpy at 0 K 550 meV/atom, total magnetization 1.2 μB per cell. Number 13: total DFT energy (no corrections) -8.400 eV/atom, formation enthalpy at 0 K 354 meV/atom, total magnetization 0.0 μB per cell. Number 14: total DFT energy (no corrections) -8.460 eV/atom, formation enthalpy at 0 K 294 meV/atom, total magnetization 0.0 μB per cell. Number 15: total DFT energy (no corrections) -4.652 eV/atom, formation enthalpy at 0 K -327 meV/atom, total magnetization 0.0 μB per cell. Number 16: total DFT energy (no corrections) -4.588 eV/atom, formation enthalpy at 0 K -204 meV/atom, total magnetization 0.0 μB per cell. Number 17: total DFT energy (no corrections) -5.211 eV/atom, formation enthalpy at 0 K -340 meV/atom, total magnetization 0.0 μB per cell. Number 18: total DFT energy (no corrections) -3.148 eV/atom, formation enthalpy at 0 K -74 meV/atom, total magnetization 0.0 μB per cell. Number 19: total DFT energy (no corrections) -3.142 eV/atom, formation enthalpy at 0 K -68 meV/atom, total magnetization 0.0 μB per cell. Number 20: total DFT energy (no corrections) -3.228 eV/atom, formation enthalpy at 0 K 41 meV/atom, total magnetization 0.0 μB per cell.